This record from Alexandria describes an optimized crystal structure of GdLuPb2. The functional is PBE.

Structure (POSCAR):
```
GdLuPb2
1.0
4.442 0.000 0.000
0.000 5.026 0.000
0.000 0.000 5.026
Pb Gd Lu
2 1 1
direct
0.000 0.000 0.500 Pb
0.000 0.500 0.000 Pb
0.500 0.000 0.000 Gd
0.500 0.500 0.500 Lu
```

Final energy (eV per cell): -27.7
Total magnetization (μB/cell): 7.7
Space-group type: P4/mmm (123)
Formation energy (eV/atom): -0.4104